# 1
## La5Pm5Tl2 (PBE-GGA)

Data for a relaxed La5Pm5Tl2 crystal.

The structure in CIF format:
```
data_La5Pm5Tl2
_chemical_formula_sum 'La10 Pm10 Tl4'
_cell_length_a 11.551
_cell_length_b 5.500
_cell_length_c 12.942
_cell_angle_alpha 90.00
_cell_angle_beta 92.63
_cell_angle_gamma 90.00
_space_group_name_H-M_alt 'C 1 2/m 1'
_space_group_IT_number 12
loop_
_space_group_symop_operation_xyz
'x,y,z'
'-x,-y,-z'
'-x,y,-z'
'x,-y,z'
'x+1/2,y+1/2,z'
'-x+1/2,-y+1/2,-z'
'-x+1/2,y+1/2,-z'
'x+1/2,-y+1/2,z'
loop_
_atom_site_label
_atom_site_fract_x
_atom_site_fract_y
_atom_site_fract_z
_atom_site_occupancy
La1 0.000 0.000 0.000 1
La2 0.083 0.500 0.810 1
La3 0.155 0.500 0.509 1
Pm1 0.000 0.000 0.500 1
Pm2 0.125 0.000 0.265 1
Pm3 0.200 0.500 0.075 1
Tl1 0.185 0.000 0.696 1
```

- E_tot (hartree per atom) = -0.165
- formation energy from the elements (meV/atom) = -57
- DOS at the Fermi energy (states/eV per atom) = 1.3605

=====

# 2
## Y2MgTe (PBE-GGA)

Data for a relaxed Y2MgTe crystal.

The structure in CIF format:
```
data_Y2MgTe
_chemical_formula_sum 'Y4 Mg2 Te2'
_cell_length_a 4.495
_cell_length_b 4.141
_cell_length_c 11.781
_cell_angle_alpha 90.00
_cell_angle_beta 90.00
_cell_angle_gamma 90.00
_space_group_name_H-M_alt 'A m m 2'
_space_group_IT_number 38
loop_
_space_group_symop_operation_xyz
'x,y,z'
'-x,-y,z'
'-x,y,z'
'x,-y,z'
'x,y+1/2,z+1/2'
'-x,-y+1/2,z+1/2'
'-x,y+1/2,z+1/2'
'x,-y+1/2,z+1/2'
loop_
_atom_site_label
_atom_site_fract_x
_atom_site_fract_y
_atom_site_fract_z
_atom_site_occupancy
Y1 0.000 0.000 0.000 1
Y2 0.500 0.000 0.296 1
Mg1 0.500 0.000 0.559 1
Te1 0.000 0.000 0.727 1
```

- E_tot (hartree per atom) = -0.185
- E_form (uncorrected) (eV per atom) = -0.62
- DOS at the Fermi energy (states/eV per atom) = 0.9145
- excess energy over the best structure of this formula in the dataset (eV per atom) = 0.000

=====

# 3
## Cs2Ru2S (PBE-GGA)

Data for a relaxed Cs2Ru2S crystal.

The structure in CIF format:
```
data_Cs2Ru2S
_chemical_formula_sum 'Cs4 Ru4 S2'
_cell_length_a 10.404
_cell_length_b 10.404
_cell_length_c 3.121
_cell_angle_alpha 90.00
_cell_angle_beta 90.00
_cell_angle_gamma 90.00
_space_group_name_H-M_alt 'P 4/m b m'
_space_group_IT_number 127
_space_group_name_Hall '-P 4 2ab'
loop_
_atom_site_label
_atom_site_fract_x
_atom_site_fract_y
_atom_site_fract_z
_atom_site_occupancy
Cs1 0.209 0.291 0.000 1
Ru1 0.073 0.573 0.500 1
S1 0.000 0.000 0.000 1
```

- E_tot (hartree per atom) = -0.133
- E_form (uncorrected) (eV per atom) = 1.24
- DOS at the Fermi energy (states/eV per atom) = 1.4445
- excess energy over the best structure of this formula in the dataset (eV per atom) = 0.658